Compound: NaPb2F4
Source: the Alexandria database
Functional: PBE
Structure: optimized geometry Values from VASP.

Structure (Quantum ESPRESSO input):
```
&SYSTEM
  ibrav = 0, nat = 14, ntyp = 3
/
ATOMIC_SPECIES
Pb 207.20 Pb.upf
Na 22.99 Na.upf
F 19.00 F.upf
CELL_PARAMETERS angstrom
-2.182 6.118 -0.261
-0.189 -0.312 -5.748
-6.030 -5.223 0.482
ATOMIC_POSITIONS angstrom
Pb -5.012 1.414 -4.240
Na -1.524 -0.044 -4.276
Pb -1.552 3.542 -4.470
Pb -3.389 -0.831 -1.286
F -3.969 3.834 -4.406
F -5.352 -0.404 -2.642
F -3.049 0.986 -2.884
F -5.261 -0.253 0.141
F -3.140 0.835 -5.667
F -4.432 -3.252 -1.120
Pb -6.848 -2.959 -1.057
F -0.877 -0.170 -1.405
F -7.524 0.753 -4.122
Na -6.877 0.627 -1.251
```

ΔE_f (raw) (meV/atom): -2136
SG: P2_1/m, No. 11
Final energy (eV/atom): -4.45